U3Cu5H12 | GGA-PBE | relaxed

abc: 10.0102 10.0102 10.0102
angles: 109.47 109.47 109.47
With the nearest neighbours (Å) after each atom.
Sites, in units of the cell vectors:
U 0.1250 0.2500 0.3750  8 H 2.25-2.30
U 0.1250 0.3750 0.7500  8 H 2.25-2.30
U 0.2500 0.3750 0.1250  8 H 2.25-2.30
U 0.2500 0.8750 0.6250  8 H 2.25-2.30
U 0.3750 0.1250 0.2500  8 H 2.25-2.30
U 0.3750 0.7500 0.1250  8 H 2.25-2.30
U 0.6250 0.2500 0.8750  8 H 2.25-2.30
U 0.6250 0.8750 0.7500  8 H 2.25-2.30
U 0.7500 0.1250 0.3750  8 H 2.25-2.30
U 0.7500 0.6250 0.8750  8 H 2.25-2.30
U 0.8750 0.6250 0.2500  8 H 2.25-2.30
U 0.8750 0.7500 0.6250  8 H 2.25-2.30
Cu 0.0000 0.0000 0.0000  6 H 1.87
Cu 0.0000 0.0000 0.5000  6 H 1.87
Cu 0.0000 0.5000 0.0000  6 H 1.87
Cu 0.0000 0.5000 0.5000  6 H 1.87
Cu 0.1250 0.7500 0.8750  4 H 1.71
Cu 0.1250 0.8750 0.2500  4 H 1.71
Cu 0.2500 0.1250 0.8750  4 H 1.71
Cu 0.2500 0.6250 0.3750  4 H 1.71
Cu 0.3750 0.2500 0.6250  4 H 1.71
Cu 0.3750 0.6250 0.7500  4 H 1.71
Cu 0.5000 0.0000 0.0000  6 H 1.87
Cu 0.5000 0.0000 0.5000  6 H 1.87
Cu 0.5000 0.5000 0.0000  6 H 1.87
Cu 0.5000 0.5000 0.5000  6 H 1.87
Cu 0.6250 0.3750 0.2500  4 H 1.71
Cu 0.6250 0.7500 0.3750  4 H 1.71
Cu 0.7500 0.3750 0.6250  4 H 1.71
Cu 0.7500 0.8750 0.1250  4 H 1.71
Cu 0.8750 0.1250 0.7500  4 H 1.71
Cu 0.8750 0.2500 0.1250  4 H 1.71
H 0.0229 0.2040 0.1171  2 Cu 1.71-1.87
H 0.0229 0.3189 0.9058  2 Cu 1.71-1.87
H 0.0869 0.7040 0.6811  2 Cu 1.71-1.87
H 0.0869 0.8829 0.4058  2 Cu 1.71-1.87
H 0.0942 0.6171 0.4131  2 Cu 1.71-1.87
H 0.0942 0.9771 0.6811  2 Cu 1.71-1.87
H 0.1171 0.0229 0.2040  2 Cu 1.71-1.87
H 0.1171 0.5942 0.9131  2 Cu 1.71-1.87
H 0.1811 0.2040 0.5869  2 Cu 1.71-1.87
H 0.1811 0.4771 0.5942  2 Cu 1.71-1.87
H 0.2040 0.1171 0.0229  2 Cu 1.71-1.87
H 0.2040 0.5869 0.1811  2 Cu 1.71-1.87
H 0.2960 0.3189 0.9131  2 Cu 1.71-1.87
H 0.2960 0.4771 0.3829  2 Cu 1.71-1.87
H 0.3189 0.9058 0.0229  2 Cu 1.71-1.87
H 0.3189 0.9131 0.2960  2 Cu 1.71-1.87
H 0.3829 0.2960 0.4771  2 Cu 1.71-1.87
H 0.3829 0.5869 0.9058  2 Cu 1.71-1.87
H 0.4058 0.0869 0.8829  2 Cu 1.71-1.87
H 0.4058 0.8189 0.5229  2 Cu 1.71-1.87
H 0.4131 0.0942 0.6171  2 Cu 1.71-1.87
H 0.4131 0.8189 0.7960  2 Cu 1.71-1.87
H 0.4771 0.3829 0.2960  2 Cu 1.71-1.87
H 0.4771 0.5942 0.1811  2 Cu 1.71-1.87
H 0.5229 0.4058 0.8189  2 Cu 1.71-1.87
H 0.5229 0.6171 0.7040  2 Cu 1.71-1.87
H 0.5869 0.1811 0.2040  2 Cu 1.71-1.87
H 0.5869 0.9058 0.3829  2 Cu 1.71-1.87
H 0.5942 0.1811 0.4771  2 Cu 1.71-1.87
H 0.5942 0.9131 0.1171  2 Cu 1.71-1.87
H 0.6171 0.4131 0.0942  2 Cu 1.71-1.87
H 0.6171 0.7040 0.5229  2 Cu 1.71-1.87
H 0.6811 0.0869 0.7040  2 Cu 1.71-1.87
H 0.6811 0.0942 0.9771  2 Cu 1.71-1.87
H 0.7040 0.5229 0.6171  2 Cu 1.71-1.87
H 0.7040 0.6811 0.0869  2 Cu 1.71-1.87
H 0.7960 0.4131 0.8189  2 Cu 1.71-1.87
H 0.7960 0.8829 0.9771  2 Cu 1.71-1.87
H 0.8189 0.5229 0.4058  2 Cu 1.71-1.87
H 0.8189 0.7960 0.4131  2 Cu 1.71-1.87
H 0.8829 0.4058 0.0869  2 Cu 1.71-1.87
H 0.8829 0.9771 0.7960  2 Cu 1.71-1.87
H 0.9058 0.0229 0.3189  2 Cu 1.71-1.87
H 0.9058 0.3829 0.5869  2 Cu 1.71-1.87
H 0.9131 0.1171 0.5942  2 Cu 1.71-1.87
H 0.9131 0.2960 0.3189  2 Cu 1.71-1.87
H 0.9771 0.6811 0.0942  2 Cu 1.71-1.87
H 0.9771 0.7960 0.8829  2 Cu 1.71-1.87

Values from the calculation:
The calculation puts the electronic total energy at -4.693 eV per atom. Its space-group type is Ia-3d (230).